The following is a PBE calculation of HfNpP2 after structural relaxation, from Alexandria.

Output
* ΔE_f: -1.0242 eV per atom
* excess energy over the best structure of this formula in the dataset: 0.101 eV per atom

Geometry as POSCAR:
```
HfNpP2
1.0
-2.8614 1.9762 1.2069
-3.3238 -1.5566 0.2821
-0.6527 -1.7134 6.8716
Hf Np P
1 1 2
direct
0.6695 0.6695 0.9915
0.4966 0.4966 0.5103
0.0765 0.0765 0.7704
0.2574 0.2574 0.2278
```